Material: CrH2IF
Method: DFT, PBE with a Hubbard U
State: relaxed

Properties
Size of the total moment = 4.716 μB/cell
DFT total energy = -3.03 eV/atom

abc: 3.8345 7.0807 3.8345
angles: 90.00 90.00 90.00
Each line ends with the local moment (μB).
Atoms (fractional coordinates):
Cr (0.5000, 0.5000, 0.5000)  4.35
H (0.5000, 0.0000, 0.0000)  0.00
H (0.0000, 0.0000, 0.5000)  0.01
F (0.0000, 0.0000, 0.0000)  0.00
I (0.0000, 0.5000, 0.0000)  -0.05